(1)
In2CoC: relaxed, PBE.

extended XYZ file:
```
8
Lattice="6.650 0.000 0.000 0.000 6.650 0.000 3.325 3.325 3.025" Properties=species:S:1:pos:R:3 pbc="T T T"
In 4.654 1.662 0.756
Co 0.000 0.000 0.000
C 3.325 6.650 1.513
In 8.312 7.979 2.269
In 1.996 4.987 0.756
In 4.987 5.321 2.269
Co 6.650 3.325 1.513
C 3.325 3.325 0.000
```

Computed properties:
Formation energy (eV per atom): 1.17
M_tot (μB per formula unit): 1.00

=====

(2)
Sm2Ge6Rh: relaxed, PBE.

extended XYZ file:
```
9
Lattice="-10.215 2.353 -4.284 7.887 -4.296 6.896 -0.205 3.452 2.386" Properties=species:S:1:pos:R:3 pbc="T T T"
Ge -10.084 2.305 -4.203
Ge -8.043 1.555 -2.943
Sm -6.300 2.603 -0.610
Ge 3.594 -2.719 4.244
Ge -4.175 0.134 -0.553
Sm 5.679 -1.797 6.788
Ge -1.195 0.728 2.543
Rh -2.185 -0.597 0.675
Ge 0.838 -0.019 3.798
```

Computed properties:
Formation energy (eV per atom): -0.54
M_tot (μB per formula unit): 0.00

=====

(3)
ZrNb2Br: relaxed, PBE.

extended XYZ file:
```
8
Lattice="-0.172 -1.453 3.660 3.916 -0.451 0.006 2.992 8.835 5.769" Properties=species:S:1:pos:R:3 pbc="T T T"
Br 4.390 3.716 3.804
Zr 2.346 3.215 5.631
Br 1.872 -0.952 1.833
Nb 3.637 5.914 5.702
Zr 0.000 0.000 0.000
Nb 5.530 4.960 7.535
Nb 1.129 1.241 3.741
Nb 3.174 1.750 1.893
```

Computed properties:
Formation energy (no corrections) (eV per formula unit): 1.97
M_tot (μB per formula unit): 0.00

=====

(4)
MnGeCN: relaxed, PBE.

extended XYZ file:
```
8
Lattice="-0.816 0.442 4.005 -0.521 -2.600 0.181 8.771 -1.625 1.903" Properties=species:S:1:pos:R:3 pbc="T T T"
C 7.934 -2.641 4.422
Ge 1.833 -0.260 1.544
C 3.809 -0.528 3.379
Mn 3.573 -1.936 1.991
N 7.730 -2.515 5.645
Ge 5.959 -2.372 2.587
N 3.605 -0.402 4.603
Mn 8.219 -1.449 2.852
```

Computed properties:
Formation energy (no corrections) (eV per formula unit): 1.28
M_tot (μB per formula unit): 0.00

=====

(5)
FeRuPt: relaxed, PBE.

extended XYZ file:
```
3
Lattice="5.936 -0.014 0.015 5.325 2.622 0.014 0.610 0.142 2.632" Properties=species:S:1:pos:R:3 pbc="T T T"
Pt 4.210 0.975 1.752
Ru 7.602 1.761 0.923
Fe 0.670 0.156 2.617
```

Computed properties:
Formation energy (eV per atom): -0.02
M_tot (μB per formula unit): 1.90

=====

(6)
CePr3Nd2Te6: relaxed, PBE.

extended XYZ file:
```
12
Lattice="4.492 0.000 0.000 0.000 9.078 0.337 -2.246 -2.601 9.480" Properties=species:S:1:pos:R:3 pbc="T T T"
Ce 2.246 0.000 0.000
Te 2.246 4.407 3.368
Te 2.246 4.226 9.732
Nd 2.246 4.328 6.544
Te 0.000 2.252 0.085
Pr 2.246 4.539 0.169
Pr 0.000 6.694 3.469
Te 0.000 2.071 6.448
Nd 0.000 2.150 3.273
Te 2.246 -0.099 3.162
Te 0.000 6.577 6.655
Pr 2.246 -0.216 6.348
```

Computed properties:
Formation energy (no corrections) (eV per formula unit): -17.11
M_tot (μB per formula unit): 1.26